Record 1
## PrInCoSe3 (GGA-PBE)

Data for a relaxed structure of PrInCoSe3.

Cell lengths 7.4643, 7.4643, 11.1410 Å; angles 90.00, 90.00, 31.63 degrees
Sites, in units of the cell vectors:
1 Se 0.0728 0.0728 0.2500
2 Se 0.3661 0.3661 0.0862
3 Se 0.6339 0.6339 0.5862
4 Se 0.6339 0.6339 0.9138
5 Se 0.9272 0.9272 0.7500
6 Se 0.3661 0.3661 0.4138
7 Pr 0.0000 0.0000 0.0000
8 Pr 0.0000 0.0000 0.5000
9 In 0.7539 0.7539 0.2500
10 In 0.2461 0.2461 0.7500
11 Co 0.5252 0.5252 0.7500
12 Co 0.4748 0.4748 0.2500

## Properties
The value obtained for the total energy is -4.997 eV/atom. The space group is Cmcm (63).

---

Record 2
## LuTc (GGA-PBE)

Data for a relaxed structure of LuTc.

Cell lengths 3.2814, 3.2814, 4.2102 Å; angles 90.00, 90.00, 120.00 degrees
Sites, in units of the cell vectors:
1 Lu 0.6667 0.3333 0.7500
2 Tc 0.3333 0.6667 0.2500

## Properties
The value obtained for the energy relative to the elements is 0.3136 eV per atom. The space group is P-6m2 (187).

---

Record 3
## CdFeBiIr (GGA-PBE)

Data for a relaxed structure of CdFeBiIr.

Cell lengths 4.6964, 4.6964, 4.6964 Å; angles 60.00, 60.00, 60.00 degrees
Sites, in units of the cell vectors:
1 Fe 0.7500 0.7500 0.7500
2 Cd 0.5000 0.5000 0.5000
3 Bi 0.0000 0.0000 0.0000
4 Ir 0.2500 0.2500 0.2500

## Properties
The calculation puts the offset from the most stable computed form at 0.000 eV per atom. The space group is F-43m (216).

---

Record 4
## Tm5B2O6F9 (GGA-PBE)

Data for a relaxed structure of Tm5B2O6F9.

Cell lengths 10.4155, 10.4155, 8.1148 Å; angles 99.85, 99.85, 33.19 degrees
Sites, in units of the cell vectors:
1 F 0.4978 0.0534 0.2134
2 F 0.5022 0.9466 0.7866
3 F 0.3477 0.7142 0.9869
4 F 0.1383 0.2842 0.9810
5 F 0.2023 0.0609 0.1844
6 F 0.7977 0.9391 0.8156
7 F 0.2858 0.6523 0.5131
8 F 0.9466 0.5022 0.2866
9 F 0.7158 0.8617 0.5190
10 F 0.0090 0.9910 0.2500
11 F 0.9910 0.0090 0.7500
12 F 0.7142 0.3477 0.4869
13 F 0.9391 0.7977 0.3156
14 F 0.0609 0.2023 0.6844
15 F 0.6523 0.2858 0.0131
16 F 0.8617 0.7158 0.0190
17 F 0.0534 0.4978 0.7134
18 F 0.2842 0.1383 0.4810
19 B 0.7067 0.5156 0.0629
20 B 0.5156 0.7067 0.5629
21 B 0.4844 0.2933 0.4371
22 B 0.2933 0.4844 0.9371
23 Tm 0.2217 0.9975 0.9056
24 Tm 0.1834 0.4287 0.1804
25 Tm 0.3876 0.6124 0.2500
26 Tm 0.4287 0.1834 0.6804
27 Tm 0.6124 0.3876 0.7500
28 Tm 0.5713 0.8166 0.3196
29 Tm 0.7783 0.0025 0.0944
30 Tm 0.0025 0.7783 0.5944
31 Tm 0.9975 0.2217 0.4056
32 Tm 0.8166 0.5713 0.8196
33 O 0.1667 0.6513 0.0664
34 O 0.3487 0.8333 0.4336
35 O 0.3058 0.5102 0.7820
36 O 0.4898 0.6942 0.7180
37 O 0.5976 0.7224 0.0394
38 O 0.6942 0.4898 0.2180
39 O 0.7224 0.5976 0.5394
40 O 0.2776 0.4024 0.4606
41 O 0.8333 0.3487 0.9336
42 O 0.6513 0.1667 0.5664
43 O 0.5102 0.3058 0.2820
44 O 0.4024 0.2776 0.9606

## Properties
The value obtained for the total energy is -7.417 eV/atom. The space group is C2/c (15).

---

Record 5
## Dy2ZnSe4 (GGA-PBE)

Data for a relaxed structure of Dy2ZnSe4.

Cell lengths 7.5784, 7.5784, 7.5784 Å; angles 133.78, 133.78, 67.43 degrees
Sites, in units of the cell vectors:
1 Se 0.0930 0.1242 0.4662
2 Se 0.6579 0.6268 0.5338
3 Se 0.8758 0.3421 0.9688
4 Se 0.3732 0.9070 0.0312
5 Zn 0.0000 0.0000 0.0000
6 Dy 0.2500 0.7500 0.5000
7 Dy 0.5000 0.5000 0.0000

## Properties
The value obtained for the total energy is -4.764 eV/atom. The space group is I-4 (82).

---

Record 6
## TbTlFeTe3 (GGA-PBE)

Data for a relaxed structure of TbTlFeTe3.

Cell lengths 4.4950, 12.3291, 13.1232 Å; angles 90.00, 90.00, 90.00 degrees
Sites, in units of the cell vectors:
1 Te 0.7500 0.9601 0.1523
2 Te 0.2500 0.2207 0.1976
3 Te 0.7500 0.7793 0.8024
4 Te 0.2500 0.8990 0.5595
5 Te 0.7500 0.4601 0.3477
6 Te 0.7500 0.1010 0.4405
7 Te 0.7500 0.2793 0.6976
8 Te 0.2500 0.3990 0.9405
9 Te 0.2500 0.5399 0.6523
10 Te 0.2500 0.7207 0.3024
11 Te 0.2500 0.0399 0.8477
12 Te 0.7500 0.6010 0.0595
13 Fe 0.2500 0.2455 0.8007
14 Fe 0.7500 0.7545 0.1993
15 Fe 0.2500 0.7455 0.6993
16 Fe 0.7500 0.2545 0.3007
17 Tl 0.2500 0.8150 0.0031
18 Tl 0.7500 0.6849 0.5031
19 Tl 0.2500 0.3150 0.4969
20 Tl 0.7500 0.1850 0.9969
21 Tb 0.2500 0.9792 0.3170
22 Tb 0.7500 0.0208 0.6830
23 Tb 0.2500 0.4792 0.1830
24 Tb 0.7500 0.5208 0.8170

## Properties
The calculation puts the offset from the most stable computed form at 0.075 eV per atom. The space group is Pnma (62).

---

Record 7
## RbNbCo (GGA-PBE)

Data for a relaxed structure of RbNbCo.

Cell lengths 4.5051, 4.5051, 4.5051 Å; angles 60.00, 60.00, 60.00 degrees
Sites, in units of the cell vectors:
1 Nb 0.7500 0.7500 0.7500
2 Rb 0.0000 0.0000 0.0000
3 Co 0.2500 0.2500 0.2500

## Properties
The calculation puts the offset from the most stable computed form at 0.928 eV per atom. The space group is F-43m (216).

---

Record 8
## Dy3Mg2Ga2GePd (GGA-PBE)

Data for a relaxed structure of Dy3Mg2Ga2GePd.

Cell lengths 4.4122, 7.1267, 7.1267 Å; angles 120.48, 90.00, 90.00 degrees
Sites, in units of the cell vectors:
1 Mg 0.5000 0.0000 0.7641
2 Mg 0.5000 0.7641 0.0000
3 Dy 0.0000 0.5763 0.5763
4 Dy 0.0000 0.0001 0.4117
5 Dy 0.0000 0.4117 0.0001
6 Ge 0.5000 0.2461 0.2461
7 Ga 0.5000 0.6626 0.3326
8 Ga 0.5000 0.3326 0.6626
9 Pd 0.0000 0.0065 0.0065

## Properties
The value obtained for the total energy is -4.292 eV/atom. The space group is Amm2 (38).

---

Record 9
## Re2Hg2O5 (GGA-PBE)

Data for a relaxed structure of Re2Hg2O5.

Cell lengths 10.6210, 3.3514, 3.3514 Å; angles 90.00, 90.00, 90.00 degrees
Sites, in units of the cell vectors:
1 O 0.8925 0.5000 0.0000
2 O 0.8925 0.0000 0.5000
3 O 0.1075 0.5000 0.0000
4 O 0.1075 0.0000 0.5000
5 O 0.5000 0.5000 0.5000
6 Re 0.5000 0.0000 0.0000
7 Re 0.0000 0.0000 0.0000
8 Hg 0.7276 0.5000 0.5000
9 Hg 0.2724 0.5000 0.5000

## Properties
The calculation puts the offset from the most stable computed form at 0.635 eV per atom. The space group is P4/mmm (123).

---

Record 10
## Sr2NdAl7Ag2 (GGA-PBE)

Data for a relaxed structure of Sr2NdAl7Ag2.

Cell lengths 9.6457, 9.6457, 9.6457 Å; angles 34.48, 34.48, 34.48 degrees
Sites, in units of the cell vectors:
1 Ag 0.6641 0.6641 0.6641
2 Ag 0.3359 0.3359 0.3359
3 Al 0.0741 0.5831 0.5831
4 Al 0.5831 0.0741 0.5831
5 Al 0.9259 0.4169 0.4169
6 Al 0.5000 0.5000 0.5000
7 Al 0.4169 0.4169 0.9259
8 Al 0.4169 0.9259 0.4169
9 Al 0.5831 0.5831 0.0741
10 Nd 0.0000 0.0000 0.0000
11 Sr 0.1425 0.1425 0.1425
12 Sr 0.8575 0.8575 0.8575

## Properties
The value obtained for the total energy is -3.640 eV/atom. The space group is R-3m (166).

---

Record 11
## Zn2SiIr (GGA-PBE)

Data for a relaxed structure of Zn2SiIr.

Cell lengths 4.2866, 4.2866, 4.2866 Å; angles 60.00, 60.00, 60.00 degrees
Sites, in units of the cell vectors:
1 Ir 0.2500 0.2500 0.2500
2 Zn 0.0000 0.0000 0.0000
3 Zn 0.7500 0.7500 0.7500
4 Si 0.5000 0.5000 0.5000

## Properties
The value obtained for the total energy is -4.211 eV/atom. The space group is F-43m (216).

---

Total moment (computed, μB per formula unit): 2.585 0.033 2.678 0.002 0.001 3.926 0.038 0.001 4.037 0.005 0.001